DFT (PBE-GGA) results for a relaxed ZnSbAu2 crystal.

Cell and atoms, written as CIF:
```
data_ZnSbAu2
_space_group_name_H-M_alt 'R 3 m'
_space_group_IT_number 160
_space_group_name_Hall 'R 3 -2"'
_cell_length_a 3.6509
_cell_length_b 3.6509
_cell_length_c 22.1662
_cell_angle_alpha 90.00
_cell_angle_beta 90.00
_cell_angle_gamma 120.00
loop_
_atom_site_label
_atom_site_type_symbol
_atom_site_fract_x
_atom_site_fract_y
_atom_site_fract_z
Zn1 Zn 0.0000 0.0000 0.0000
Sb1 Sb 0.0000 0.0000 0.2378
Au1 Au 0.0000 0.0000 0.4878
Au2 Au 0.0000 0.0000 0.7363
```

Summary:
E_form (uncorrected) (eV per atom): 0.0435
V (A^3/atom): 21.3
Energy relative to the lowest polymorph listed for this composition (meV per atom): 109
M_tot (μB per atom): 0.00

---

DFT (PBE-GGA) results for a relaxed MgBe2Ge2 crystal.

Cell and atoms, written as CIF:
```
data_MgBe2Ge2
_space_group_name_H-M_alt 'I 4/m m m'
_space_group_IT_number 139
_space_group_name_Hall '-I 4 2'
_cell_length_a 3.878
_cell_length_b 3.878
_cell_length_c 10.089
_cell_angle_alpha 90.00
_cell_angle_beta 90.00
_cell_angle_gamma 90.00
loop_
_atom_site_label
_atom_site_type_symbol
_atom_site_fract_x
_atom_site_fract_y
_atom_site_fract_z
Mg1 Mg 0.000 0.000 0.000
Be1 Be 0.000 0.500 0.250
Ge1 Ge 0.000 0.000 0.377
```

Summary:
ΔE_f (meV/atom): 95
V (A^3/atom): 15.2
M_tot (μB per atom): 0.00